# 1
A plane-wave DFT calculation with PBE was carried out for crystalline Sr2TeO5 at its relaxed geometry.

Summary:
ΔE_f (raw)	-2.05	eV/atom
total magnetization	0.000	μB per atom

Cell: 4.144 6.483 11.029 Å, 90.00 90.00 108.64°
Atoms (fractional coordinates):
O (0.692, 0.384, 0.250)
O (0.269, 0.538, 0.121)
O (0.731, 0.462, 0.621)
O (0.731, 0.462, 0.879)
O (0.051, 0.103, 0.373)
O (0.269, 0.538, 0.379)
O (0.949, 0.897, 0.627)
O (0.308, 0.616, 0.750)
O (0.949, 0.897, 0.873)
O (0.051, 0.103, 0.127)
Sr (0.860, 0.720, 0.075)
Sr (0.140, 0.280, 0.575)
Sr (0.140, 0.280, 0.925)
Sr (0.860, 0.720, 0.425)
Te (0.160, 0.320, 0.250)
Te (0.840, 0.680, 0.750)

=====

# 2
A plane-wave DFT calculation with PBE was carried out for crystalline SrTeO2 at its relaxed geometry.

Summary:
ΔE_f (raw)	-1.26	eV/atom
total magnetization	0.000	μB per atom

Cell: 5.036 5.036 5.036 Å, 47.52 47.52 47.52°
Atoms (fractional coordinates):
O (0.785, 0.785, 0.785)
O (0.215, 0.215, 0.215)
Sr (0.000, 0.000, 0.000)
Te (0.500, 0.500, 0.500)

=====

# 3
A plane-wave DFT calculation with PBE was carried out for crystalline SrTeO3 at its relaxed geometry.

Summary:
ΔE_f (raw)	-1.96	eV/atom
total magnetization	0.000	μB per atom

Cell: 14.636 14.636 15.672 Å, 58.47 58.47 23.56°
Atoms (fractional coordinates):
O (0.921, 0.991, 0.620)
O (0.086, 0.106, 0.855)
O (0.002, 0.382, 0.427)
O (0.373, 0.527, 0.981)
O (0.085, 0.552, 0.120)
O (0.846, 0.619, 0.723)
O (0.103, 0.532, 0.547)
O (0.784, 0.093, 0.431)
O (0.894, 0.914, 0.145)
O (0.630, 0.027, 0.065)
O (0.883, 0.156, 0.114)
O (0.644, 0.035, 0.340)
O (0.380, 0.449, 0.651)
O (0.428, 0.460, 0.215)
O (0.009, 0.079, 0.380)
O (0.973, 0.378, 0.247)
O (0.945, 0.638, 0.982)
O (0.357, 0.737, 0.561)
O (0.965, 0.356, 0.660)
O (0.844, 0.117, 0.886)
O (0.618, 0.998, 0.573)
O (0.622, 0.027, 0.753)
O (0.540, 0.572, 0.785)
O (0.362, 0.055, 0.018)
O (0.442, 0.899, 0.688)
O (0.263, 0.643, 0.439)
O (0.448, 0.915, 0.880)
O (0.473, 0.627, 0.019)
O (0.468, 0.897, 0.453)
O (0.907, 0.216, 0.569)
O (0.381, 0.154, 0.277)
O (0.529, 0.857, 0.230)
O (0.143, 0.471, 0.770)
O (0.101, 0.558, 0.312)
O (0.551, 0.620, 0.349)
O (0.973, 0.370, 0.935)
Sr (0.685, 0.559, 0.580)
Sr (0.437, 0.307, 0.158)
Sr (0.608, 0.392, 0.500)
Sr (0.296, 0.198, 0.719)
Sr (0.693, 0.563, 0.842)
Sr (0.966, 0.790, 0.607)
Sr (0.786, 0.711, 0.889)
Sr (0.085, 0.915, 0.000)
Sr (0.289, 0.214, 0.111)
Sr (0.441, 0.315, 0.420)
Sr (0.210, 0.034, 0.393)
Sr (0.802, 0.704, 0.281)
Te (0.935, 0.765, 0.003)
Te (0.075, 0.941, 0.649)
Te (0.293, 0.181, 0.416)
Te (0.942, 0.829, 0.277)
Te (0.819, 0.707, 0.584)
Te (0.235, 0.065, 0.997)
Te (0.398, 0.311, 0.778)
Te (0.543, 0.416, 0.855)
Te (0.171, 0.058, 0.723)
Te (0.689, 0.602, 0.222)
Te (0.059, 0.925, 0.351)
Te (0.584, 0.457, 0.145)